Below is LiDy4Ir after structural relaxation, with properties calculated at the PBE level.

Values from the calculation:
Energy of formation from the pure elements: -34 kJ/mol of formula units
Space group: I4_1md
E: -4.923 eV per atom

Cell lengths 7.9807, 7.9807, 7.9807 Å; angles 102.21, 102.21, 125.24 degrees
Atoms (fractional coordinates):
Li1 0.0000 0.0000 0.0000
Li2 0.7500 0.2500 0.5000
Dy1 0.0550 0.8183 0.2367
Dy2 0.0812 0.3918 0.3106
Dy3 0.0812 0.7706 0.6894
Dy4 0.1418 0.3312 0.8106
Dy5 0.5206 0.3312 0.1894
Dy6 0.5683 0.3050 0.7367
Dy7 0.5683 0.8316 0.2633
Dy8 0.5816 0.8183 0.7633
Ir1 0.3560 0.8560 0.5000
Ir2 0.6060 0.6060 0.0000

---

Below is LiDyLuIr after structural relaxation, with properties calculated at the PBE level.

Values from the calculation:
Energy of formation from the pure elements: -238 kJ/mol of formula units
Space group: F-43m
E: -5.591 eV per atom

Cell lengths 6.8749, 6.8749, 6.8749 Å; angles 90.00, 90.00, 90.00 degrees
Atoms (fractional coordinates):
Li1 0.0000 0.0000 0.0000
Li2 0.0000 0.5000 0.5000
Li3 0.5000 0.0000 0.5000
Li4 0.5000 0.5000 0.0000
Dy1 0.2500 0.2500 0.2500
Dy2 0.2500 0.7500 0.7500
Dy3 0.7500 0.2500 0.7500
Dy4 0.7500 0.7500 0.2500
Lu1 0.2500 0.2500 0.7500
Lu2 0.2500 0.7500 0.2500
Lu3 0.7500 0.2500 0.2500
Lu4 0.7500 0.7500 0.7500
Ir1 0.0000 0.0000 0.5000
Ir2 0.0000 0.5000 0.0000
Ir3 0.5000 0.0000 0.0000
Ir4 0.5000 0.5000 0.5000

---

Below is LiNdDyIr after structural relaxation, with properties calculated at the PBE level.

Values from the calculation:
Energy of formation from the pure elements: -184 kJ/mol of formula units
Space group: F-43m
E: -5.514 eV per atom

Cell lengths 7.0759, 7.0759, 7.0759 Å; angles 90.00, 90.00, 90.00 degrees
Atoms (fractional coordinates):
Li1 0.0000 0.0000 0.0000
Li2 0.0000 0.5000 0.5000
Li3 0.5000 0.0000 0.5000
Li4 0.5000 0.5000 0.0000
Nd1 0.2500 0.2500 0.2500
Nd2 0.2500 0.7500 0.7500
Nd3 0.7500 0.2500 0.7500
Nd4 0.7500 0.7500 0.2500
Dy1 0.2500 0.2500 0.7500
Dy2 0.2500 0.7500 0.2500
Dy3 0.7500 0.2500 0.2500
Dy4 0.7500 0.7500 0.7500
Ir1 0.0000 0.0000 0.5000
Ir2 0.0000 0.5000 0.0000
Ir3 0.5000 0.0000 0.0000
Ir4 0.5000 0.5000 0.5000

---

Below is Li3Dy2Ni12Ir after structural relaxation, with properties calculated at the PBE level.

Values from the calculation:
Energy of formation from the pure elements: 67 kJ/mol of formula units
Space group: R-3m
E: -5.138 eV per atom

Cell lengths 12.0359, 12.0359, 12.0359 Å; angles 24.15, 24.15, 24.15 degrees
Atoms (fractional coordinates):
Li1 0.0000 0.5000 0.5000
Li2 0.5000 0.0000 0.5000
Li3 0.5000 0.5000 0.0000
Dy1 0.1426 0.1426 0.1426
Dy2 0.8574 0.8574 0.8574
Ni1 0.1024 0.1024 0.6281
Ni2 0.1024 0.6281 0.1024
Ni3 0.1102 0.6072 0.6072
Ni4 0.3719 0.8976 0.8976
Ni5 0.3928 0.3928 0.8898
Ni6 0.3928 0.8898 0.3928
Ni7 0.6072 0.1102 0.6072
Ni8 0.6072 0.6072 0.1102
Ni9 0.6281 0.1024 0.1024
Ni10 0.8898 0.3928 0.3928
Ni11 0.8976 0.3719 0.8976
Ni12 0.8976 0.8976 0.3719
Ir1 0.5000 0.5000 0.5000

---

Below is LiDyNiIr after structural relaxation, with properties calculated at the PBE level.

Values from the calculation:
Energy of formation from the pure elements: -109 kJ/mol of formula units
Space group: F-43m
E: -5.571 eV per atom

Cell lengths 6.2856, 6.2856, 6.2856 Å; angles 90.00, 90.00, 90.00 degrees
Atoms (fractional coordinates):
Li1 0.0000 0.0000 0.0000
Li2 0.0000 0.5000 0.5000
Li3 0.5000 0.0000 0.5000
Li4 0.5000 0.5000 0.0000
Dy1 0.2500 0.2500 0.7500
Dy2 0.2500 0.7500 0.2500
Dy3 0.7500 0.2500 0.2500
Dy4 0.7500 0.7500 0.7500
Ni1 0.0000 0.0000 0.5000
Ni2 0.0000 0.5000 0.0000
Ni3 0.5000 0.0000 0.0000
Ni4 0.5000 0.5000 0.5000
Ir1 0.2500 0.2500 0.2500
Ir2 0.2500 0.7500 0.7500
Ir3 0.7500 0.2500 0.7500
Ir4 0.7500 0.7500 0.2500

---

Below is LiDy2IrO6 after structural relaxation, with properties calculated at the PBE level.

Values from the calculation:
Formation energy without anion corrections: -2.304 eV/atom
Space group: R3
E: -7.277 eV per atom

Cell lengths 5.7014, 5.7014, 5.7014 Å; angles 57.80, 57.80, 57.80 degrees
Atoms (fractional coordinates):
Li1 0.0000 0.0000 0.0000
Dy1 0.2249 0.2249 0.2249
Dy2 0.7305 0.7305 0.7305
Ir1 0.5188 0.5188 0.5188
O1 0.1688 0.3893 0.7756
O2 0.3024 0.8714 0.6441
O3 0.3893 0.7756 0.1688
O4 0.6441 0.3024 0.8714
O5 0.7756 0.1688 0.3893
O6 0.8714 0.6441 0.3024

---

Below is LiDy2IrO5 after structural relaxation, with properties calculated at the PBE level.

Values from the calculation:
Formation energy without anion corrections: -2.218 eV/atom
Space group: Immm
E: -7.193 eV per atom

Cell lengths 6.4864, 6.4864, 6.4864 Å; angles 144.30, 127.99, 64.69 degrees
Atoms (fractional coordinates):
Li1 0.0000 0.0000 0.0000
Dy1 0.2905 0.7905 0.5000
Dy2 0.7095 0.2095 0.5000
Ir1 0.5000 0.5000 0.0000
O1 0.1221 0.3520 0.7702
O2 0.4182 0.6480 0.7702
O3 0.5000 0.0000 0.5000
O4 0.5818 0.3520 0.2298
O5 0.8779 0.6480 0.2298

---

Below is LiDyIrPb after structural relaxation, with properties calculated at the PBE level.

Values from the calculation:
Energy of formation from the pure elements: -180 kJ/mol of formula units
Space group: F-43m
E: -5.237 eV per atom

Cell lengths 6.7962, 6.7962, 6.7962 Å; angles 90.00, 90.00, 90.00 degrees
Atoms (fractional coordinates):
Li1 0.0000 0.0000 0.0000
Li2 0.0000 0.5000 0.5000
Li3 0.5000 0.0000 0.5000
Li4 0.5000 0.5000 0.0000
Dy1 0.2500 0.2500 0.7500
Dy2 0.2500 0.7500 0.2500
Dy3 0.7500 0.2500 0.2500
Dy4 0.7500 0.7500 0.7500
Ir1 0.0000 0.0000 0.5000
Ir2 0.0000 0.5000 0.0000
Ir3 0.5000 0.0000 0.0000
Ir4 0.5000 0.5000 0.5000
Pb1 0.2500 0.2500 0.2500
Pb2 0.2500 0.7500 0.7500
Pb3 0.7500 0.2500 0.7500
Pb4 0.7500 0.7500 0.2500

---

Below is LiDyIrPd after structural relaxation, with properties calculated at the PBE level.

Values from the calculation:
Energy of formation from the pure elements: -198 kJ/mol of formula units
Space group: F-43m
E: -5.655 eV per atom

Cell lengths 6.5321, 6.5321, 6.5321 Å; angles 90.00, 90.00, 90.00 degrees
Atoms (fractional coordinates):
Li1 0.0000 0.0000 0.0000
Li2 0.0000 0.5000 0.5000
Li3 0.5000 0.0000 0.5000
Li4 0.5000 0.5000 0.0000
Dy1 0.0000 0.0000 0.5000
Dy2 0.0000 0.5000 0.0000
Dy3 0.5000 0.0000 0.0000
Dy4 0.5000 0.5000 0.5000
Ir1 0.2500 0.2500 0.2500
Ir2 0.2500 0.7500 0.7500
Ir3 0.7500 0.2500 0.7500
Ir4 0.7500 0.7500 0.2500
Pd1 0.2500 0.2500 0.7500
Pd2 0.2500 0.7500 0.2500
Pd3 0.7500 0.2500 0.2500
Pd4 0.7500 0.7500 0.7500

---

Below is LiPmDyIr after structural relaxation, with properties calculated at the PBE level.

Values from the calculation:
Energy of formation from the pure elements: -193 kJ/mol of formula units
Space group: F-43m
E: -5.531 eV per atom

Cell lengths 7.0478, 7.0478, 7.0478 Å; angles 90.00, 90.00, 90.00 degrees
Atoms (fractional coordinates):
Li1 0.0000 0.0000 0.0000
Li2 0.0000 0.5000 0.5000
Li3 0.5000 0.0000 0.5000
Li4 0.5000 0.5000 0.0000
Pm1 0.2500 0.2500 0.7500
Pm2 0.2500 0.7500 0.2500
Pm3 0.7500 0.2500 0.2500
Pm4 0.7500 0.7500 0.7500
Dy1 0.2500 0.2500 0.2500
Dy2 0.2500 0.7500 0.7500
Dy3 0.7500 0.2500 0.7500
Dy4 0.7500 0.7500 0.2500
Ir1 0.0000 0.0000 0.5000
Ir2 0.0000 0.5000 0.0000
Ir3 0.5000 0.0000 0.0000
Ir4 0.5000 0.5000 0.5000

---

Below is LiPrDyIr after structural relaxation, with properties calculated at the PBE level.

Values from the calculation:
Energy of formation from the pure elements: -176 kJ/mol of formula units
Space group: F-43m
E: -5.495 eV per atom

Cell lengths 7.1058, 7.1058, 7.1058 Å; angles 90.00, 90.00, 90.00 degrees
Atoms (fractional coordinates):
Li1 0.0000 0.0000 0.0000
Li2 0.0000 0.5000 0.5000
Li3 0.5000 0.0000 0.5000
Li4 0.5000 0.5000 0.0000
Pr1 0.2500 0.2500 0.7500
Pr2 0.2500 0.7500 0.2500
Pr3 0.7500 0.2500 0.2500
Pr4 0.7500 0.7500 0.7500
Dy1 0.2500 0.2500 0.2500
Dy2 0.2500 0.7500 0.7500
Dy3 0.7500 0.2500 0.7500
Dy4 0.7500 0.7500 0.2500
Ir1 0.0000 0.0000 0.5000
Ir2 0.0000 0.5000 0.0000
Ir3 0.5000 0.0000 0.0000
Ir4 0.5000 0.5000 0.5000

---

Below is LiDyIrRh after structural relaxation, with properties calculated at the PBE level.

Values from the calculation:
Energy of formation from the pure elements: -157 kJ/mol of formula units
Space group: F-43m
E: -6.090 eV per atom

Cell lengths 6.4385, 6.4385, 6.4385 Å; angles 90.00, 90.00, 90.00 degrees
Atoms (fractional coordinates):
Li1 0.0000 0.0000 0.0000
Li2 0.0000 0.5000 0.5000
Li3 0.5000 0.0000 0.5000
Li4 0.5000 0.5000 0.0000
Dy1 0.0000 0.0000 0.5000
Dy2 0.0000 0.5000 0.0000
Dy3 0.5000 0.0000 0.0000
Dy4 0.5000 0.5000 0.5000
Ir1 0.2500 0.2500 0.2500
Ir2 0.2500 0.7500 0.7500
Ir3 0.7500 0.2500 0.7500
Ir4 0.7500 0.7500 0.2500
Rh1 0.2500 0.2500 0.7500
Rh2 0.2500 0.7500 0.2500
Rh3 0.7500 0.2500 0.2500
Rh4 0.7500 0.7500 0.7500

---

Below is LiDyIrRu after structural relaxation, with properties calculated at the PBE level.

Values from the calculation:
Energy of formation from the pure elements: -36 kJ/mol of formula units
Space group: F-43m
E: -6.255 eV per atom

Cell lengths 6.4287, 6.4287, 6.4287 Å; angles 90.00, 90.00, 90.00 degrees
Atoms (fractional coordinates):
Li1 0.0000 0.0000 0.0000
Li2 0.0000 0.5000 0.5000
Li3 0.5000 0.0000 0.5000
Li4 0.5000 0.5000 0.0000
Dy1 0.2500 0.2500 0.2500
Dy2 0.2500 0.7500 0.7500
Dy3 0.7500 0.2500 0.7500
Dy4 0.7500 0.7500 0.2500
Ir1 0.2500 0.2500 0.7500
Ir2 0.2500 0.7500 0.2500
Ir3 0.7500 0.2500 0.2500
Ir4 0.7500 0.7500 0.7500
Ru1 0.0000 0.0000 0.5000
Ru2 0.0000 0.5000 0.0000
Ru3 0.5000 0.0000 0.0000
Ru4 0.5000 0.5000 0.5000

---

Below is LiDySbIr after structural relaxation, with properties calculated at the PBE level.

Values from the calculation:
Formation energy without anion corrections: -0.750 eV/atom
Space group: F-43m
E: -5.625 eV per atom

Cell lengths 6.6576, 6.6576, 6.6576 Å; angles 90.00, 90.00, 90.00 degrees
Atoms (fractional coordinates):
Li1 0.0000 0.0000 0.0000
Li2 0.0000 0.5000 0.5000
Li3 0.5000 0.0000 0.5000
Li4 0.5000 0.5000 0.0000
Dy1 0.2500 0.2500 0.2500
Dy2 0.2500 0.7500 0.7500
Dy3 0.7500 0.2500 0.7500
Dy4 0.7500 0.7500 0.2500
Sb1 0.2500 0.2500 0.7500
Sb2 0.2500 0.7500 0.2500
Sb3 0.7500 0.2500 0.2500
Sb4 0.7500 0.7500 0.7500
Ir1 0.0000 0.0000 0.5000
Ir2 0.0000 0.5000 0.0000
Ir3 0.5000 0.0000 0.0000
Ir4 0.5000 0.5000 0.5000

---

Below is LiDy2Si2Ir5 after structural relaxation, with properties calculated at the PBE level.

Values from the calculation:
Formation energy without anion corrections: -0.737 eV/atom
Space group: P4/mbm
E: -7.364 eV per atom

Cell lengths 9.8109, 9.8109, 3.3770 Å; angles 90.00, 90.00, 90.00 degrees
Atoms (fractional coordinates):
Li1 0.0000 0.0000 0.0000
Li2 0.5000 0.5000 0.0000
Dy1 0.1738 0.3262 0.0000
Dy2 0.3262 0.8262 0.0000
Dy3 0.6738 0.1738 0.0000
Dy4 0.8262 0.6738 0.0000
Si1 0.1274 0.6274 0.0000
Si2 0.3726 0.1274 0.0000
Si3 0.6274 0.8726 0.0000
Si4 0.8726 0.3726 0.0000
Ir1 0.0000 0.5000 0.5000
Ir2 0.0661 0.7914 0.5000
Ir3 0.2086 0.0661 0.5000
Ir4 0.2914 0.5661 0.5000
Ir5 0.4339 0.2914 0.5000
Ir6 0.5000 0.0000 0.5000
Ir7 0.5661 0.7086 0.5000
Ir8 0.7086 0.4339 0.5000
Ir9 0.7914 0.9339 0.5000
Ir10 0.9339 0.2086 0.5000

---

Below is LiDySiIr after structural relaxation, with properties calculated at the PBE level.

Values from the calculation:
Formation energy without anion corrections: -0.584 eV/atom
Space group: F-43m
E: -5.784 eV per atom

Cell lengths 6.4150, 6.4150, 6.4150 Å; angles 90.00, 90.00, 90.00 degrees
Atoms (fractional coordinates):
Li1 0.0000 0.0000 0.0000
Li2 0.0000 0.5000 0.5000
Li3 0.5000 0.0000 0.5000
Li4 0.5000 0.5000 0.0000
Dy1 0.2500 0.2500 0.2500
Dy2 0.2500 0.7500 0.7500
Dy3 0.7500 0.2500 0.7500
Dy4 0.7500 0.7500 0.2500
Si1 0.2500 0.2500 0.7500
Si2 0.2500 0.7500 0.2500
Si3 0.7500 0.2500 0.2500
Si4 0.7500 0.7500 0.7500
Ir1 0.0000 0.0000 0.5000
Ir2 0.0000 0.5000 0.0000
Ir3 0.5000 0.0000 0.0000
Ir4 0.5000 0.5000 0.5000

---

Below is LiSmDyIr after structural relaxation, with properties calculated at the PBE level.

Values from the calculation:
Energy of formation from the pure elements: -198 kJ/mol of formula units
Space group: F-43m
E: -5.538 eV per atom

Cell lengths 7.0274, 7.0274, 7.0274 Å; angles 90.00, 90.00, 90.00 degrees
Atoms (fractional coordinates):
Li1 0.0000 0.0000 0.0000
Li2 0.0000 0.5000 0.5000
Li3 0.5000 0.0000 0.5000
Li4 0.5000 0.5000 0.0000
Sm1 0.2500 0.2500 0.7500
Sm2 0.2500 0.7500 0.2500
Sm3 0.7500 0.2500 0.2500
Sm4 0.7500 0.7500 0.7500
Dy1 0.2500 0.2500 0.2500
Dy2 0.2500 0.7500 0.7500
Dy3 0.7500 0.2500 0.7500
Dy4 0.7500 0.7500 0.2500
Ir1 0.0000 0.0000 0.5000
Ir2 0.0000 0.5000 0.0000
Ir3 0.5000 0.0000 0.0000
Ir4 0.5000 0.5000 0.5000

---

Below is SrLiDyIr after structural relaxation, with properties calculated at the PBE level.

Values from the calculation:
Energy of formation from the pure elements: -94 kJ/mol of formula units
Space group: F-43m
E: -4.509 eV per atom

Cell lengths 7.1675, 7.1675, 7.1675 Å; angles 90.00, 90.00, 90.00 degrees
Atoms (fractional coordinates):
Sr1 0.0000 0.0000 0.0000
Sr2 0.0000 0.5000 0.5000
Sr3 0.5000 0.0000 0.5000
Sr4 0.5000 0.5000 0.0000
Li1 0.2500 0.2500 0.7500
Li2 0.2500 0.7500 0.2500
Li3 0.7500 0.2500 0.2500
Li4 0.7500 0.7500 0.7500
Dy1 0.0000 0.0000 0.5000
Dy2 0.0000 0.5000 0.0000
Dy3 0.5000 0.0000 0.0000
Dy4 0.5000 0.5000 0.5000
Ir1 0.2500 0.2500 0.2500
Ir2 0.2500 0.7500 0.7500
Ir3 0.7500 0.2500 0.7500
Ir4 0.7500 0.7500 0.2500

---

Below is LiDyThIr after structural relaxation, with properties calculated at the PBE level.

Values from the calculation:
Energy of formation from the pure elements: -168 kJ/mol of formula units
Space group: F-43m
E: -6.134 eV per atom

Cell lengths 7.0988, 7.0988, 7.0988 Å; angles 90.00, 90.00, 90.00 degrees
Atoms (fractional coordinates):
Li1 0.0000 0.0000 0.0000
Li2 0.0000 0.5000 0.5000
Li3 0.5000 0.0000 0.5000
Li4 0.5000 0.5000 0.0000
Dy1 0.2500 0.2500 0.7500
Dy2 0.2500 0.7500 0.2500
Dy3 0.7500 0.2500 0.2500
Dy4 0.7500 0.7500 0.7500
Th1 0.2500 0.2500 0.2500
Th2 0.2500 0.7500 0.7500
Th3 0.7500 0.2500 0.7500
Th4 0.7500 0.7500 0.2500
Ir1 0.0000 0.0000 0.5000
Ir2 0.0000 0.5000 0.0000
Ir3 0.5000 0.0000 0.0000
Ir4 0.5000 0.5000 0.5000

---

Below is LiDyTiIr after structural relaxation, with properties calculated at the PBE level.

Values from the calculation:
Energy of formation from the pure elements: -151 kJ/mol of formula units
Space group: F-43m
E: -6.210 eV per atom

Cell lengths 6.6014, 6.6014, 6.6014 Å; angles 90.00, 90.00, 90.00 degrees
Atoms (fractional coordinates):
Li1 0.0000 0.0000 0.0000
Li2 0.0000 0.5000 0.5000
Li3 0.5000 0.0000 0.5000
Li4 0.5000 0.5000 0.0000
Dy1 0.2500 0.2500 0.2500
Dy2 0.2500 0.7500 0.7500
Dy3 0.7500 0.2500 0.7500
Dy4 0.7500 0.7500 0.2500
Ti1 0.2500 0.2500 0.7500
Ti2 0.2500 0.7500 0.2500
Ti3 0.7500 0.2500 0.2500
Ti4 0.7500 0.7500 0.7500
Ir1 0.0000 0.0000 0.5000
Ir2 0.0000 0.5000 0.0000
Ir3 0.5000 0.0000 0.0000
Ir4 0.5000 0.5000 0.5000